1.
# Nd4TmMg

Crystalline Nd4TmMg at its relaxed geometry (PBE, the Alexandria database). Values from VASP.

Values from the calculation:
Crystal system: tetragonal
Density of states at the Fermi level (states/eV per cell): 6.9
Energy relative to the elements (eV/atom): -0.02
Space-group type: P4/mmm (123)
Calculated total energy (eV per cell): -25.25
Mass density (g cm⁻³): 6.56

The structure in Quantum ESPRESSO input format:
```
&SYSTEM
  ibrav = 0, nat = 6, ntyp = 3
/
ATOMIC_SPECIES
Nd 144.24 Nd.upf
Tm 168.93 Tm.upf
Mg 24.30 Mg.upf
ATOMIC_POSITIONS angstrom
Nd 0.000 0.000 2.202
Nd 0.000 0.000 12.229
Nd 1.838 1.838 4.741
Nd 1.838 1.838 9.690
Tm 0.000 0.000 7.215
Mg 1.838 1.838 0.000
CELL_PARAMETERS angstrom
3.676 0.000 0.000
0.000 3.676 0.000
0.000 0.000 14.431
```



2.
# PmReP2

Crystalline PmReP2 at its relaxed geometry (PBE, the Alexandria database). Values from VASP.

Values from the calculation:
Crystal system: cubic
Density of states at the Fermi level (states/eV per cell): 0.9
Energy relative to the elements (eV/atom): -0.31
Space-group type: Fm-3m (225)
Calculated total energy (eV per cell): -29.27
Mass density (g cm⁻³): 9.64

The structure in Quantum ESPRESSO input format:
```
&SYSTEM
  ibrav = 0, nat = 4, ntyp = 3
/
ATOMIC_SPECIES
Pm 145.00 Pm.upf
Re 186.21 Re.upf
P 30.97 P.upf
ATOMIC_POSITIONS angstrom
Pm 0.000 0.000 0.000
Re 3.235 3.235 3.235
P 1.618 1.618 1.618
P 4.853 4.853 4.853
CELL_PARAMETERS angstrom
0.000 3.235 3.235
3.235 0.000 3.235
3.235 3.235 0.000
```



3.
# InCuCl

Crystalline InCuCl at its relaxed geometry (PBE, the Alexandria database). Values from VASP.

Values from the calculation:
Energy relative to the elements, uncorrected (meV/atom): -219
Crystal system: trigonal
Density of states at the Fermi level (states/eV per cell): 0.5
Space-group type: P3m1 (156)
Calculated total energy (eV per cell): -9.34
Mass density (g cm⁻³): 5.39

The structure in Quantum ESPRESSO input format:
```
&SYSTEM
  ibrav = 0, nat = 3, ntyp = 3
/
ATOMIC_SPECIES
In 114.82 In.upf
Cu 63.55 Cu.upf
Cl 35.45 Cl.upf
ATOMIC_POSITIONS angstrom
In 0.000 0.000 0.000
Cu 0.000 2.117 3.953
Cl 1.834 1.059 2.653
CELL_PARAMETERS angstrom
3.667 0.000 0.000
-1.834 3.176 0.000
0.000 0.000 5.655
```



4.
# Zn3Ga2Pd4

Crystalline Zn3Ga2Pd4 at its relaxed geometry (PBE, the Alexandria database). Values from VASP.

Values from the calculation:
Crystal system: triclinic
Density of states at the Fermi level (states/eV per cell): 2.3
Energy relative to the elements (eV/atom): -0.52
Space-group type: P-1 (2)
Calculated total energy (eV per cell): -35.33
Mass density (g cm⁻³): 9.52

The structure in Quantum ESPRESSO input format:
```
&SYSTEM
  ibrav = 0, nat = 9, ntyp = 3
/
ATOMIC_SPECIES
Zn 65.41 Zn.upf
Ga 69.72 Ga.upf
Pd 106.42 Pd.upf
ATOMIC_POSITIONS angstrom
Zn 0.000 0.000 0.000
Zn 1.998 1.938 3.672
Zn 3.994 3.603 4.524
Ga 2.003 2.555 6.437
Ga 3.990 2.986 1.760
Pd 1.993 4.389 2.684
Pd 1.995 1.565 0.947
Pd 3.997 3.976 7.250
Pd 3.999 1.151 5.512
CELL_PARAMETERS angstrom
3.990 0.000 0.000
1.992 4.062 0.000
0.010 1.479 8.197
```



5.
# Er12Ni6Sn

Crystalline Er12Ni6Sn at its relaxed geometry (PBE, the Alexandria database). Values from VASP.

Values from the calculation:
Crystal system: cubic
Density of states at the Fermi level (states/eV per cell): 21.5
Energy relative to the elements (eV/atom): -0.42
Space-group type: Im-3 (204)
Calculated total energy (eV per cell): -101.50
Mass density (g cm⁻³): 9.27

The structure in Quantum ESPRESSO input format:
```
&SYSTEM
  ibrav = 0, nat = 19, ntyp = 3
/
ATOMIC_SPECIES
Er 167.26 Er.upf
Ni 58.69 Ni.upf
Sn 118.71 Sn.upf
ATOMIC_POSITIONS angstrom
Er 4.806 3.001 -1.892
Er 2.914 0.000 1.806
Er 6.698 0.000 1.806
Er 1.806 2.914 0.000
Er 3.001 -1.892 4.806
Er 0.000 1.806 2.914
Er 4.806 3.001 1.892
Er 1.806 6.698 0.000
Er 3.001 1.892 4.806
Er -1.892 4.806 3.001
Er 1.892 4.806 3.001
Er 0.000 1.806 6.698
Ni 4.806 1.191 0.000
Ni 4.806 0.000 3.615
Ni 3.615 4.806 0.000
Ni 1.191 0.000 4.806
Ni 0.000 4.806 1.191
Ni 0.000 3.615 4.806
Sn 0.000 0.000 0.000
CELL_PARAMETERS angstrom
-4.806 4.806 4.806
4.806 -4.806 4.806
4.806 4.806 -4.806
```



6.
# NaMgP2

Crystalline NaMgP2 at its relaxed geometry (PBE, the Alexandria database). Values from VASP.

Values from the calculation:
Crystal system: cubic
Density of states at the Fermi level (states/eV per cell): 1.9
Energy relative to the elements (eV/atom): -0.02
Space-group type: Fm-3m (225)
Calculated total energy (eV per cell): -13.81
Mass density (g cm⁻³): 2.50

The structure in Quantum ESPRESSO input format:
```
&SYSTEM
  ibrav = 0, nat = 4, ntyp = 3
/
ATOMIC_SPECIES
Na 22.99 Na.upf
Mg 24.30 Mg.upf
P 30.97 P.upf
ATOMIC_POSITIONS angstrom
Na 0.000 0.000 0.000
Mg 3.311 3.311 3.311
P 1.656 1.656 1.656
P 4.967 4.967 4.967
CELL_PARAMETERS angstrom
0.000 3.311 3.311
3.311 0.000 3.311
3.311 3.311 0.000
```



7.
# KCoBr

Crystalline KCoBr at its relaxed geometry (PBE, the Alexandria database). Values from VASP.

Values from the calculation:
Energy relative to the elements, uncorrected (meV/atom): 63
Crystal system: hexagonal
Density of states at the Fermi level (states/eV per cell): 4.7
Space-group type: P-6m2 (187)
Calculated total energy (eV per cell): -9.69
Mass density (g cm⁻³): 3.93

The structure in Quantum ESPRESSO input format:
```
&SYSTEM
  ibrav = 0, nat = 3, ntyp = 3
/
ATOMIC_SPECIES
K 39.10 K.upf
Co 58.93 Co.upf
Br 79.90 Br.upf
ATOMIC_POSITIONS angstrom
K 0.000 0.000 0.000
Co 0.000 2.365 2.588
Br 2.048 1.183 2.588
CELL_PARAMETERS angstrom
4.097 0.000 0.000
-2.048 3.548 0.000
0.000 0.000 5.177
```



8.
# Sc4GeSb2

Crystalline Sc4GeSb2 at its relaxed geometry (PBE, the Alexandria database). Values from VASP.

Values from the calculation:
Energy relative to the elements, uncorrected (meV/atom): -747
Crystal system: monoclinic
Density of states at the Fermi level (states/eV per cell): 6.1
Space-group type: C2/m (12)
Calculated total energy (eV per cell): -43.42
Mass density (g cm⁻³): 5.12

The structure in Quantum ESPRESSO input format:
```
&SYSTEM
  ibrav = 0, nat = 7, ntyp = 3
/
ATOMIC_SPECIES
Sc 44.96 Sc.upf
Ge 72.64 Ge.upf
Sb 121.76 Sb.upf
ATOMIC_POSITIONS angstrom
Sc -0.571 0.000 2.615
Sc -0.063 0.000 6.582
Sc 6.989 0.000 0.447
Sc 7.498 0.000 4.414
Ge 0.000 0.000 0.000
Sb 2.465 0.000 2.283
Sb 4.461 0.000 4.746
CELL_PARAMETERS angstrom
5.406 -2.118 0.000
5.406 2.118 0.000
-3.886 0.000 7.030
```



9.
# Ac3LaNd2Se6

Crystalline Ac3LaNd2Se6 at its relaxed geometry (PBE, the Alexandria database). Values from VASP.

Values from the calculation:
Energy relative to the elements, uncorrected (meV/atom): -1878
Crystal system: monoclinic
Density of states at the Fermi level (states/eV per cell): 6.4
Space-group type: C2/m (12)
Calculated total energy (eV per cell): -70.24
Mass density (g cm⁻³): 7.47

The structure in Quantum ESPRESSO input format:
```
&SYSTEM
  ibrav = 0, nat = 12, ntyp = 4
/
ATOMIC_SPECIES
Ac 227.00 Ac.upf
La 138.91 La.upf
Nd 144.24 Nd.upf
Se 78.96 Se.upf
ATOMIC_POSITIONS angstrom
Ac 0.000 0.000 0.000
Ac 3.767 2.172 0.000
Ac 3.767 -2.172 0.000
La 2.504 0.000 3.569
Nd 2.504 4.356 3.569
Nd 2.504 -4.356 3.569
Se 1.242 2.197 1.875
Se -0.032 0.000 5.253
Se 1.242 -2.197 1.875
Se 3.766 2.197 5.264
Se 5.041 0.000 1.886
Se 3.766 -2.197 5.264
CELL_PARAMETERS angstrom
3.767 -6.544 0.000
3.767 6.544 0.000
-2.526 0.000 7.138
```



10.
# Y2TeBr

Crystalline Y2TeBr at its relaxed geometry (PBE, the Alexandria database). Values from VASP.

Values from the calculation:
Energy relative to the elements, uncorrected (meV/atom): -1012
Crystal system: monoclinic
Density of states at the Fermi level (states/eV per cell): 2.3
Space-group type: P2/m (10)
Calculated total energy (eV per cell): -21.79
Mass density (g cm⁻³): 5.70

The structure in Quantum ESPRESSO input format:
```
&SYSTEM
  ibrav = 0, nat = 4, ntyp = 3
/
ATOMIC_SPECIES
Y 88.91 Y.upf
Te 127.60 Te.upf
Br 79.90 Br.upf
ATOMIC_POSITIONS angstrom
Y 0.010 0.000 1.745
Y 2.757 0.000 5.452
Te 1.890 2.063 0.000
Br -0.507 2.063 3.598
CELL_PARAMETERS angstrom
3.781 0.000 0.000
0.000 4.127 0.000
-1.014 0.000 7.197
```



11.
# Th2CdNi6

Crystalline Th2CdNi6 at its relaxed geometry (PBE, the Alexandria database). Values from VASP.

Values from the calculation:
Crystal system: orthorhombic
Density of states at the Fermi level (states/eV per cell): 6.0
Energy relative to the elements (eV/atom): -0.03
Space-group type: Immm (71)
Calculated total energy (eV per cell): -50.72
Mass density (g cm⁻³): 9.81

The structure in Quantum ESPRESSO input format:
```
&SYSTEM
  ibrav = 0, nat = 9, ntyp = 3
/
ATOMIC_SPECIES
Th 232.04 Th.upf
Cd 112.41 Cd.upf
Ni 58.69 Ni.upf
ATOMIC_POSITIONS angstrom
Th 0.000 0.000 1.873
Th 0.000 0.000 11.380
Cd 0.000 3.388 0.000
Ni 1.751 2.139 -2.307
Ni 1.751 1.281 0.000
Ni 1.751 2.139 2.307
Ni 0.000 1.249 4.319
Ni 0.000 2.108 6.627
Ni 0.000 1.249 8.934
CELL_PARAMETERS angstrom
-1.751 3.388 6.627
1.751 -3.388 6.627
1.751 3.388 -6.627
```



12.
# V2InW

Crystalline V2InW at its relaxed geometry (PBE, the Alexandria database). Values from VASP.

Values from the calculation:
Crystal system: tetragonal
Density of states at the Fermi level (states/eV per cell): 4.6
Energy relative to the elements (eV/atom): 0.18
Space-group type: P4/mmm (123)
Calculated total energy (eV per cell): -33.21
Mass density (g cm⁻³): 10.55

The structure in Quantum ESPRESSO input format:
```
&SYSTEM
  ibrav = 0, nat = 4, ntyp = 3
/
ATOMIC_SPECIES
V 50.94 V.upf
In 114.82 In.upf
W 183.84 W.upf
ATOMIC_POSITIONS angstrom
V 0.000 2.170 0.000
V 2.170 0.000 0.000
In 0.000 0.000 1.673
W 2.170 2.170 1.673
CELL_PARAMETERS angstrom
4.341 0.000 0.000
0.000 4.341 0.000
0.000 0.000 3.347
```